# 1
DFT (PBE) results for Pu4SnGe2Pt after structural relaxation.

Calculated values
- space group = R-3m (166)
- ΔE_f (eV/atom) = -0.41

```
data_Pu4SnGe2Pt
_cell_length_a 5.1384
_cell_length_b 5.1384
_cell_length_c 8.7585
_cell_angle_alpha 72.94
_cell_angle_beta 72.94
_cell_angle_gamma 60.00
_symmetry_space_group_name_H-M 'P 1'
_symmetry_Int_Tables_number 1
loop_
_symmetry_equiv_pos_as_xyz
'x,y,z'
loop_
_atom_site_label
_atom_site_fract_x
_atom_site_fract_y
_atom_site_fract_z
Pu1 0.3862 0.3862 0.8413
Pu2 0.8682 0.8682 0.3953
Pu3 0.1318 0.1318 0.6047
Pu4 0.6138 0.6138 0.1587
Sn1 0.0000 0.0000 0.0000
Ge1 0.7437 0.7437 0.7690
Ge2 0.2563 0.2563 0.2310
Pt1 0.5000 0.5000 0.5000
```

# 2
DFT (PBE) results for CaAl3N after structural relaxation.

Calculated values
- formation energy (no corrections) (eV/atom) = 2.33
- space group = Pm-3m (221)

```
data_CaAl3N
_cell_length_a 5.5816
_cell_length_b 5.5816
_cell_length_c 5.5816
_cell_angle_alpha 90.00
_cell_angle_beta 90.00
_cell_angle_gamma 90.00
_symmetry_space_group_name_H-M 'P 1'
_symmetry_Int_Tables_number 1
loop_
_symmetry_equiv_pos_as_xyz
'x,y,z'
loop_
_atom_site_label
_atom_site_fract_x
_atom_site_fract_y
_atom_site_fract_z
Ca1 0.0000 0.0000 0.0000
Al1 0.0000 0.5000 0.0000
Al2 0.0000 0.0000 0.5000
Al3 0.5000 0.0000 0.0000
N1 0.5000 0.5000 0.5000
```

Q: Number 1 is which compound?
A: Pu4SnGe2Pt